# Tl5P

An optimized crystal structure of Tl5P (PBE, the Alexandria database).

Summary:
Formation energy from the elements in meV/atom: 167
Space group: P-62m (189)
Distance to the lowest polymorph of the same formula in eV/atom: 0.068
Crystal system: hexagonal

```
Tl5P
1.0
6.209 0.000 0.000
-3.104 5.377 0.000
0.000 0.000 5.179
Tl P
5 1
Direct
0.000 0.691 0.000
0.309 0.309 0.000
0.333 0.667 0.500
0.667 0.333 0.500
0.691 0.000 0.000
0.000 0.000 0.500
```

# Li3Al

An optimized crystal structure of Li3Al (PBE, the Alexandria database).

Summary:
Formation energy from the elements in meV/atom: -48
Space group: P6_3/mmc (194)
Crystal system: hexagonal

```
Li3Al
1.0
5.821 0.000 0.000
-2.911 5.041 0.000
0.000 0.000 9.324
Li Al
12 4
Direct
0.000 0.500 0.000
0.000 0.500 0.500
0.161 0.322 0.250
0.161 0.839 0.250
0.322 0.161 0.750
0.500 0.000 0.000
0.500 0.000 0.500
0.500 0.500 0.000
0.500 0.500 0.500
0.678 0.839 0.250
0.839 0.161 0.750
0.839 0.678 0.750
0.000 0.000 0.000
0.000 0.000 0.500
0.333 0.667 0.750
0.667 0.333 0.250
```

# NaTePb2O6

An optimized crystal structure of NaTePb2O6 (PBE, the Alexandria database).

Summary:
Space group: P2_1/c (14)
Crystal system: monoclinic
E_form (uncorrected) in meV per atom: -1167

```
NaTePb2O6
1.0
5.709 0.000 0.000
0.000 6.151 0.000
-5.550 0.000 8.333
Na Te Pb O
2 2 4 12
Direct
0.000 0.000 0.000
0.000 0.500 0.500
0.500 0.000 0.500
0.500 0.500 0.000
0.225 0.051 0.737
0.225 0.449 0.237
0.775 0.551 0.763
0.775 0.949 0.263
0.179 0.166 0.468
0.179 0.334 0.968
0.262 0.739 0.427
0.262 0.761 0.927
0.384 0.064 0.278
0.384 0.436 0.778
0.616 0.564 0.222
0.616 0.936 0.722
0.738 0.239 0.073
0.738 0.261 0.573
0.821 0.666 0.032
0.821 0.834 0.532
```

What total energy values result from the calculations? In sequence: -2.71 -2.42 -5.33 eV/atom.